No. 1
Compound: Ac2Pm8Tm3
Source: Alexandria
Functional: PBE-GGA
Structure: relaxed Values from VASP.

```
&SYSTEM
  ibrav = 0, nat = 13, ntyp = 3
/
ATOMIC_SPECIES
Ac 227.00 Ac.upf
Pm 145.00 Pm.upf
Tm 168.93 Tm.upf
ATOMIC_POSITIONS angstrom
Ac 2.571 -0.095 4.595
Ac 6.054 0.053 9.894
Pm 5.385 0.750 6.451
Pm 3.239 -0.792 8.038
Pm 0.274 -1.823 6.555
Pm 8.351 1.781 7.933
Pm 3.842 -3.351 5.984
Pm 1.258 1.845 7.538
Pm 7.367 -1.887 6.950
Pm 4.783 3.309 8.504
Tm -0.595 -1.148 2.849
Tm 3.664 3.626 5.143
Tm 6.150 -1.373 3.648
CELL_PARAMETERS angstrom
-1.190 -2.295 5.697
7.478 -4.042 2.850
2.337 6.295 5.941
```

E_form: 0.194 eV/atom
V: 35.28 A^3/atom
SG: No. 12

---

No. 2
Compound: Ac2Pm5Tm
Source: Alexandria
Functional: PBE-GGA
Structure: relaxed Values from VASP.

```
&SYSTEM
  ibrav = 0, nat = 8, ntyp = 3
/
ATOMIC_SPECIES
Ac 227.00 Ac.upf
Pm 145.00 Pm.upf
Tm 168.93 Tm.upf
ATOMIC_POSITIONS angstrom
Ac 3.865 -4.619 -2.187
Ac 2.275 -4.518 1.191
Pm 1.586 -0.093 -3.380
Pm 5.749 -6.029 0.799
Pm 2.789 -7.872 -0.539
Pm 0.390 -3.108 -1.795
Pm 3.351 -1.265 -0.457
Tm 0.000 0.000 0.000
CELL_PARAMETERS angstrom
-1.374 -1.936 -4.719
4.546 1.751 -2.042
2.967 -8.952 5.765
```

E_form: 0.040 eV/atom
V: 36.28 A^3/atom
SG: No. 139

---

No. 3
Compound: AcPm4Tm10
Source: Alexandria
Functional: PBE-GGA
Structure: relaxed Values from VASP.

```
&SYSTEM
  ibrav = 0, nat = 15, ntyp = 3
/
ATOMIC_SPECIES
Ac 227.00 Ac.upf
Pm 145.00 Pm.upf
Tm 168.93 Tm.upf
ATOMIC_POSITIONS angstrom
Ac 0.000 0.000 0.000
Pm 5.023 8.128 4.701
Pm 5.558 6.887 11.428
Pm 2.566 2.217 2.230
Pm 3.101 0.976 8.957
Tm 2.578 4.552 6.159
Tm 4.279 3.862 10.292
Tm 5.834 1.485 6.871
Tm 5.266 7.619 8.130
Tm 6.804 5.242 4.701
Tm 3.845 5.242 3.365
Tm 5.546 4.552 7.499
Tm 1.320 3.862 8.956
Tm 2.858 1.485 5.528
Tm 2.290 7.619 6.786
CELL_PARAMETERS angstrom
5.935 0.000 2.680
2.968 9.104 1.340
-0.779 0.000 9.637
```

E_form: 0.537 eV/atom
V: 35.98 A^3/atom
SG: No. 87

---

No. 4
Compound: Ac2Pm3Tm
Source: Alexandria
Functional: PBE-GGA
Structure: relaxed Values from VASP.

```
&SYSTEM
  ibrav = 0, nat = 12, ntyp = 3
/
ATOMIC_SPECIES
Ac 227.00 Ac.upf
Pm 145.00 Pm.upf
Tm 168.93 Tm.upf
ATOMIC_POSITIONS angstrom
Ac 6.163 6.888 13.006
Ac 2.185 5.482 3.702
Ac 4.448 4.569 7.023
Ac 3.899 7.801 9.685
Pm 1.058 3.993 9.171
Pm 7.289 8.377 7.537
Pm 6.039 10.785 13.607
Pm 2.308 1.585 3.101
Pm 6.728 10.200 10.258
Pm 1.619 2.170 6.450
Tm 3.649 4.725 10.901
Tm 4.698 7.645 5.807
CELL_PARAMETERS angstrom
5.654 0.000 1.164
1.999 9.033 4.604
0.694 3.337 10.940
```

E_form: 0.230 eV/atom
V: 39.36 A^3/atom
SG: No. 12

---

No. 5
Compound: AcPm3Tm6
Source: Alexandria
Functional: PBE-GGA
Structure: relaxed Values from VASP.

```
&SYSTEM
  ibrav = 0, nat = 10, ntyp = 3
/
ATOMIC_SPECIES
Ac 227.00 Ac.upf
Pm 145.00 Pm.upf
Tm 168.93 Tm.upf
ATOMIC_POSITIONS angstrom
Ac -0.972 -0.605 -5.142
Pm -3.189 -0.569 0.528
Pm -3.244 -5.148 -0.642
Pm 0.000 0.000 0.000
Tm -2.187 -2.468 -2.324
Tm -4.126 -6.786 2.294
Tm -4.246 -3.249 2.209
Tm -2.307 1.069 -2.409
Tm -2.042 -6.818 -3.398
Tm -4.391 1.101 3.283
CELL_PARAMETERS angstrom
-1.365 4.267 -3.367
-0.579 -5.477 -6.917
-4.489 -4.507 10.169
```

E_form: 0.272 eV/atom
V: 35.02 A^3/atom
SG: No. 2

---

No. 6
Compound: AcPmTm6
Source: Alexandria
Functional: PBE-GGA
Structure: relaxed Values from VASP.

```
&SYSTEM
  ibrav = 0, nat = 8, ntyp = 3
/
ATOMIC_SPECIES
Ac 227.00 Ac.upf
Pm 145.00 Pm.upf
Tm 168.93 Tm.upf
ATOMIC_POSITIONS angstrom
Ac 0.000 0.000 0.000
Pm 4.448 -5.557 1.330
Tm 7.294 -7.400 0.644
Tm 5.248 -8.469 3.017
Tm 3.647 -2.645 -0.357
Tm 1.602 -3.714 2.016
Tm 1.791 -5.886 -1.107
Tm 7.104 -5.228 3.768
CELL_PARAMETERS angstrom
-1.146 -5.717 1.257
3.124 -3.486 -3.698
6.918 -1.912 5.101
```

E_form: 0.409 eV/atom
V: 36.08 A^3/atom
SG: No. 12

---

No. 7
Compound: AcPm5Tm
Source: Alexandria
Functional: PBE-GGA
Structure: relaxed Values from VASP.

```
&SYSTEM
  ibrav = 0, nat = 14, ntyp = 3
/
ATOMIC_SPECIES
Ac 227.00 Ac.upf
Pm 145.00 Pm.upf
Tm 168.93 Tm.upf
ATOMIC_POSITIONS angstrom
Ac 0.000 0.000 0.000
Ac -5.765 0.921 1.818
Pm -9.124 -1.000 3.117
Pm -2.827 -1.244 5.948
Pm -2.295 0.863 3.263
Pm -7.273 -3.946 3.518
Pm -8.877 0.794 6.335
Pm 2.069 -4.442 2.525
Pm 0.465 0.299 5.343
Pm -4.513 -4.511 5.598
Pm -3.981 -2.403 2.912
Pm 2.316 -2.647 5.743
Tm -6.256 -1.283 5.396
Tm -0.552 -2.364 3.465
CELL_PARAMETERS angstrom
0.860 -6.674 -0.158
3.862 1.185 5.383
-11.530 1.842 3.636
```

E_form: 0.092 eV/atom
V: 35.70 A^3/atom
SG: No. 15

---

No. 8
Compound: Ac5Pm4Tm
Source: Alexandria
Functional: PBE-GGA
Structure: relaxed Values from VASP.

```
&SYSTEM
  ibrav = 0, nat = 10, ntyp = 3
/
ATOMIC_SPECIES
Ac 227.00 Ac.upf
Pm 145.00 Pm.upf
Tm 168.93 Tm.upf
ATOMIC_POSITIONS angstrom
Ac 1.940 1.940 2.468
Ac 1.940 1.940 7.670
Ac 1.940 1.940 12.901
Ac 1.940 1.940 18.132
Ac 1.940 1.940 23.334
Pm 0.000 0.000 5.053
Pm 0.000 0.000 10.285
Pm 0.000 0.000 15.518
Pm 0.000 0.000 20.749
Tm 0.000 0.000 0.000
CELL_PARAMETERS angstrom
3.880 0.000 0.000
0.000 3.880 0.000
0.000 0.000 25.802
```

E_form: 0.038 eV/atom
V: 38.84 A^3/atom
SG: No. 123

---

Number 1: E -4.3936 eV per atom. Number 2: E -4.5155 eV per atom. Number 3: E -3.9844 eV per atom. Number 4: E -4.2596 eV per atom. Number 5: E -4.2469 eV per atom. Number 6: E -4.0522 eV per atom. Number 7: E -4.5265 eV per atom. Number 8: E -4.3637 eV per atom.